Record 1
The following is a SCAN calculation of a crystal of BaCa2MgSi2O8 relaxed with PBEsol, from Alexandria via LeMat-Bulk.

The structure belongs to space group P-3m1 (No. 164); the cell edges are 5.4327, 5.4327 and 6.7637 Å and the angles 90.00°, 90.00° and 120.00°. The distinct sites, in fractional coordinates, are Ba at (0.0000, 0.0000, 0.0000), Ca at (0.3333, 0.6667, 0.6532), Mg at (0.0000, 0.0000, 0.5000), Si at (0.3333, 0.6667, 0.2208), O at (0.1748, 0.3496, 0.3231) and O at (0.3333, 0.6667, 0.9817).

Its density of states at the Fermi level is 0.00 states/eV/atom. As for the energy relative to the elements, uncorrected: -315.4 kJ per mole of atoms. The calculated density comes out at 4.09 Mg/m³.

---

Record 2
The following is a SCAN calculation of a crystal of MnAlRu3 relaxed with PBEsol, from Alexandria via LeMat-Bulk.

The structure belongs to space group Pm-3m (No. 221); the cell edges are 4.314, 4.314 and 4.314 Å and the angles 90.00°, 90.00° and 90.00°. The distinct sites, in fractional coordinates, are Mn at (0.000, 0.000, 0.000), Al at (0.500, 0.500, 0.500) and Ru at (0.000, 0.000, 0.500).

Its density of states at the Fermi level is 1.27 states/eV/atom. Its formation energy is 1.086 eV per atom. The calculated density comes out at 7.97 Mg/m³.

---

Record 3
The following is a SCAN calculation of a crystal of CaNi2AgF relaxed with PBEsol, from Alexandria via LeMat-Bulk.

The structure belongs to space group P4/mmm (No. 123); the cell edges are 4.444, 4.444 and 5.301 Å and the angles 90.00°, 90.00° and 90.00°. The distinct sites, in fractional coordinates, are Ca at (0.000, 0.000, 0.000), Ni at (0.000, 0.500, 0.000), Ag at (0.000, 0.000, 0.500) and F at (0.500, 0.500, 0.500).

Its density of states at the Fermi level is 0.95 states/eV/atom. As for the energy relative to the elements, uncorrected: 131.1 kJ per mole of atoms. The calculated density comes out at 4.51 Mg/m³.

---

Record 4
The following is a SCAN calculation of a crystal of RbBaCd2Sb relaxed with PBEsol, from Alexandria via LeMat-Bulk.

The structure belongs to space group P4/mmm (No. 123); the cell edges are 6.005, 6.005 and 6.611 Å and the angles 90.00°, 90.00° and 90.00°. The distinct sites, in fractional coordinates, are Rb at (0.000, 0.000, 0.000), Ba at (0.000, 0.000, 0.500), Cd at (0.000, 0.500, 0.500) and Sb at (0.500, 0.500, 0.000).

Its density of states at the Fermi level is 0.64 states/eV/atom. As for the energy relative to the elements, uncorrected: 71.4 kJ per mole of atoms. The calculated density comes out at 3.97 Mg/m³.

---

Record 5
The following is a SCAN calculation of a crystal of Na2GaSb2 relaxed with PBEsol, from Alexandria via LeMat-Bulk.

The structure belongs to space group I4/mmm (No. 139); the cell edges are 4.268, 4.268 and 15.604 Å and the angles 90.00°, 90.00° and 90.00°. The distinct sites, in fractional coordinates, are Na at (0.000, 0.000, 0.097), Ga at (0.000, 0.000, 0.500) and Sb at (0.000, 0.500, 0.250).

Its density of states at the Fermi level is 0.53 states/eV/atom. As for the energy relative to the elements, uncorrected: 6.3 kJ per mole of atoms. The calculated density comes out at 4.20 Mg/m³.

---

Record 6
The following is a SCAN calculation of a crystal of InCu3 relaxed with PBEsol, from Alexandria via LeMat-Bulk.

The structure belongs to space group Pm-3n (No. 223); the cell edges are 4.798, 4.798 and 4.798 Å and the angles 90.00°, 90.00° and 90.00°. The distinct sites, in fractional coordinates, are In at (0.000, 0.000, 0.000) and Cu at (0.000, 0.250, 0.500).

Its density of states at the Fermi level is 0.31 states/eV/atom. Its formation energy is 0.084 eV per atom. The calculated density comes out at 9.18 Mg/m³.

---

Please write out number 5 again, unchanged.
The following is a SCAN calculation of a crystal of Na2GaSb2 relaxed with PBEsol, from Alexandria via LeMat-Bulk.

The structure belongs to space group I4/mmm (No. 139); the cell edges are 4.268, 4.268 and 15.604 Å and the angles 90.00°, 90.00° and 90.00°. The distinct sites, in fractional coordinates, are Na at (0.000, 0.000, 0.097), Ga at (0.000, 0.000, 0.500) and Sb at (0.000, 0.500, 0.250).

Its density of states at the Fermi level is 0.53 states/eV/atom. As for the energy relative to the elements, uncorrected: 6.3 kJ per mole of atoms. The calculated density comes out at 4.20 Mg/m³.

---

Question: Number 1 is which compound?
Answer: BaCa2MgSi2O8

---

Question: Which of these has the highest calculated density?
Answer: InCu3